w) PmErTe | Alexandria | PBE | optimized geometry; Fermi-level density of states = 3.5 states/eV per cell; M_tot = 0.00 μB per formula unit; space-group type = No. 156
1.0
4.027 0.000 0.000
0.000 5.181 0.000
0.000 -2.591 4.487
Te Er Pm
1 1 1
direct
0.280 0.333 0.667 Te
0.114 0.000 0.000 Er
0.605 0.667 0.333 Pm

---

x) PmErTe | Alexandria | PBE | optimized geometry; Fermi-level density of states = 12.9 states/eV per cell; M_tot = 0.00 μB per formula unit; space-group type = No. 12
1.0
4.012 0.000 0.000
0.000 11.126 0.522
-2.006 -0.796 8.335
Te Pm Er
4 4 4
direct
0.620 0.542 0.239 Te
0.573 0.155 0.147 Te
0.427 0.845 0.853 Te
0.380 0.458 0.761 Te
0.385 0.159 0.770 Pm
0.615 0.841 0.230 Pm
0.976 0.649 0.952 Pm
0.024 0.351 0.048 Pm
0.251 0.665 0.501 Er
0.807 0.919 0.615 Er
0.749 0.335 0.499 Er
0.193 0.081 0.385 Er

---

The structure with the most favorable energy is x); the runner-up is 261 meV per atom above it.